# 1
# ZrBeMo2 (PBE, optimized geometry)
# Calculated total energy   -8.438 eV per atom
# Total magnetization   0.000 μB per atom
data_ZrBeMo2
_chemical_formula_sum 'Zr1 Be1 Mo2'
_cell_length_a 3.2556
_cell_length_b 3.2556
_cell_length_c 6.0557
_cell_angle_alpha 90.00
_cell_angle_beta 90.00
_cell_angle_gamma 90.00
_space_group_name_H-M_alt 'P 4/m m m'
_space_group_IT_number 123
_space_group_name_Hall '-P 4 2'
loop_
_atom_site_label
_atom_site_type_symbol
_atom_site_fract_x
_atom_site_fract_y
_atom_site_fract_z
Zr1 Zr 0.0000 0.0000 0.0000
Be1 Be 0.0000 0.0000 0.5000
Mo1 Mo 0.5000 0.5000 0.3090

# 2
# ZrBe2Mo (PBE, optimized geometry)
# Calculated total energy   -6.654 eV per atom
# Total magnetization   0.000 μB per atom
# Offset from the most stable computed form   144 meV/atom
data_ZrBe2Mo
_chemical_formula_sum 'Zr2 Be4 Mo2'
_cell_length_a 5.5733
_cell_length_b 7.0430
_cell_length_c 2.8220
_cell_angle_alpha 90.00
_cell_angle_beta 90.00
_cell_angle_gamma 90.00
_space_group_name_H-M_alt 'C m m m'
_space_group_IT_number 65
_space_group_name_Hall '-C 2 2'
loop_
_atom_site_label
_atom_site_type_symbol
_atom_site_fract_x
_atom_site_fract_y
_atom_site_fract_z
Zr1 Zr 0.0000 0.0000 0.0000
Be1 Be 0.2500 0.2500 0.5000
Mo1 Mo 0.0000 0.5000 0.0000

# 3
# Zr2BeMo (PBE, optimized geometry)
# Calculated total energy   -7.433 eV per atom
# Total magnetization   0.000 μB per atom
data_Zr2BeMo
_chemical_formula_sum 'Zr8 Be4 Mo4'
_cell_length_a 7.3241
_cell_length_b 7.3241
_cell_length_c 5.4428
_cell_angle_alpha 90.00
_cell_angle_beta 90.00
_cell_angle_gamma 90.00
_space_group_name_H-M_alt 'I -4 2 d'
_space_group_IT_number 122
_space_group_name_Hall 'I -4 2bw'
loop_
_atom_site_label
_atom_site_type_symbol
_atom_site_fract_x
_atom_site_fract_y
_atom_site_fract_z
Zr1 Zr 0.2348 0.2500 0.1250
Be1 Be 0.0000 0.0000 0.0000
Mo1 Mo 0.0000 0.0000 0.5000

# 4
# ZrBe2Mo (PBE, optimized geometry)
# Calculated total energy   -6.798 eV per atom
# Total magnetization   0.000 μB per atom
# Offset from the most stable computed form   0 meV/atom
data_ZrBe2Mo
_chemical_formula_sum 'Zr2 Be4 Mo2'
_cell_length_a 3.4511
_cell_length_b 3.4043
_cell_length_c 9.3613
_cell_angle_alpha 90.00
_cell_angle_beta 90.00
_cell_angle_gamma 90.00
_space_group_name_H-M_alt 'A m m 2'
_space_group_IT_number 38
loop_
_space_group_symop_operation_xyz
'x,y,z'
'-x,-y,z'
'-x,y,z'
'x,-y,z'
'x,y+1/2,z+1/2'
'-x,-y+1/2,z+1/2'
'-x,y+1/2,z+1/2'
'x,-y+1/2,z+1/2'
loop_
_atom_site_label
_atom_site_type_symbol
_atom_site_fract_x
_atom_site_fract_y
_atom_site_fract_z
Zr1 Zr 0.0000 0.0000 0.0000
Be1 Be 0.0000 0.0000 0.7283
Be2 Be 0.5000 0.0000 0.6035
Mo1 Mo 0.5000 0.0000 0.2999

# 5
# ZrBe2Mo (PBE, optimized geometry)
# Calculated total energy   -6.755 eV per atom
# Total magnetization   0.000 μB per atom
# Offset from the most stable computed form   43 meV/atom
data_ZrBe2Mo
_chemical_formula_sum 'Zr1 Be2 Mo1'
_cell_length_a 3.1687
_cell_length_b 3.1687
_cell_length_c 5.5102
_cell_angle_alpha 90.00
_cell_angle_beta 90.00
_cell_angle_gamma 90.00
_space_group_name_H-M_alt 'P 4/m m m'
_space_group_IT_number 123
_space_group_name_Hall '-P 4 2'
loop_
_atom_site_label
_atom_site_type_symbol
_atom_site_fract_x
_atom_site_fract_y
_atom_site_fract_z
Zr1 Zr 0.0000 0.0000 0.0000
Be1 Be 0.5000 0.5000 0.3038
Mo1 Mo 0.0000 0.0000 0.5000

# 6
# ZrBeMo2 (PBE, optimized geometry)
# Calculated total energy   -8.516 eV per atom
# Total magnetization   0.000 μB per atom
data_ZrBeMo2
_chemical_formula_sum 'Zr1 Be1 Mo2'
_cell_length_a 3.2100
_cell_length_b 3.2100
_cell_length_c 6.1499
_cell_angle_alpha 90.00
_cell_angle_beta 90.00
_cell_angle_gamma 90.00
_space_group_name_H-M_alt 'P 4 m m'
_space_group_IT_number 99
loop_
_space_group_symop_operation_xyz
'x,y,z'
'-y,x,z'
'-x,-y,z'
'y,-x,z'
'-x,y,z'
'y,x,z'
'x,-y,z'
'-y,-x,z'
loop_
_atom_site_label
_atom_site_type_symbol
_atom_site_fract_x
_atom_site_fract_y
_atom_site_fract_z
Zr1 Zr 0.0000 0.0000 0.0000
Be1 Be 0.5000 0.5000 0.2763
Mo1 Mo 0.0000 0.0000 0.4743
Mo2 Mo 0.5000 0.5000 0.7100

# 7
# ZrBeMo (PBE, optimized geometry)
# Calculated total energy   -7.411 eV per atom
# Total magnetization   0.000 μB per atom
# Offset from the most stable computed form   372 meV/atom
data_ZrBeMo
_chemical_formula_sum 'Zr1 Be1 Mo1'
_cell_length_a 4.5787
_cell_length_b 4.5787
_cell_length_c 2.6741
_cell_angle_alpha 90.00
_cell_angle_beta 90.00
_cell_angle_gamma 120.00
_space_group_name_H-M_alt 'P 3 m 1'
_space_group_IT_number 156
loop_
_space_group_symop_operation_xyz
'x,y,z'
'-y,x-y,z'
'-x+y,-x,z'
'-y,-x,z'
'-x+y,y,z'
'x,x-y,z'
loop_
_atom_site_label
_atom_site_type_symbol
_atom_site_fract_x
_atom_site_fract_y
_atom_site_fract_z
Zr1 Zr 0.0000 0.0000 0.0000
Be1 Be 0.3333 0.6667 0.4014
Mo1 Mo 0.6667 0.3333 0.6426

# 8
# Zr2BeMo (PBE, optimized geometry)
# Calculated total energy   -7.879 eV per atom
# Total magnetization   0.000 μB per atom
data_Zr2BeMo
_chemical_formula_sum 'Zr2 Be1 Mo1'
_cell_length_a 3.5807
_cell_length_b 3.9643
_cell_length_c 5.4509
_cell_angle_alpha 90.00
_cell_angle_beta 108.93
_cell_angle_gamma 90.00
_space_group_name_H-M_alt 'P 1 m 1'
_space_group_IT_number 6
loop_
_space_group_symop_operation_xyz
'x,y,z'
'x,-y,z'
loop_
_atom_site_label
_atom_site_type_symbol
_atom_site_fract_x
_atom_site_fract_y
_atom_site_fract_z
Zr1 Zr 0.0000 0.0000 0.0000
Zr2 Zr 0.2945 0.5000 0.5954
Be1 Be 0.5769 0.5000 0.1549
Mo1 Mo 0.7089 0.0000 0.4232

Q: Look up the calculated total energy of the third one.
A: -7.433 eV per atom